DFT (PBE-GGA) results for an optimized crystal structure of Ba6P2RhI3.

Structure (extended XYZ):
```
12
Lattice="4.073 -7.054 0.000 4.073 7.054 0.000 -2.715 0.000 8.447" Properties=species:S:1:pos:R:3 pbc="T T T"
Ba 1.329 2.302 1.659
Ba -0.056 0.000 6.784
Ba 1.329 -2.302 1.659
Ba 4.101 2.302 6.789
Ba 5.486 0.000 1.663
Ba 4.101 -2.302 6.789
P 4.073 2.349 0.000
P 4.073 -2.349 0.000
Rh 0.000 0.000 0.000
I 2.715 4.679 4.224
I 2.715 0.000 4.224
I 2.715 -4.679 4.224
```

**Formation energy from raw total energies**: -1.233 eV per atom


DFT (PBE-GGA) results for an optimized crystal structure of Ba6PRh2I3.

Structure (extended XYZ):
```
12
Lattice="4.033 -6.989 0.000 4.033 6.989 0.000 -2.689 0.000 8.440" Properties=species:S:1:pos:R:3 pbc="T T T"
Ba -0.019 2.364 6.796
Ba 1.304 0.000 1.639
Ba -0.019 -2.364 6.796
Ba 5.395 2.364 1.645
Ba 4.073 0.000 6.801
Ba 5.395 -2.364 1.645
P 4.033 0.000 0.000
Rh 4.033 4.657 0.000
Rh 4.033 -4.657 0.000
I -1.345 0.000 4.220
I 2.688 2.312 4.220
I 2.688 -2.312 4.220
```

**Formation energy from raw total energies**: -1.019 eV per atom


DFT (PBE-GGA) results for an optimized crystal structure of Ba4PSI2.

Structure (extended XYZ):
```
8
Lattice="8.128 0.000 0.000 0.000 4.710 0.000 -2.719 0.000 8.258" Properties=species:S:1:pos:R:3 pbc="T T T"
Ba 1.328 0.000 1.687
Ba -0.036 2.355 6.578
Ba 5.446 2.355 1.680
Ba 4.081 0.000 6.571
P 0.000 2.355 0.000
S 4.064 0.000 0.000
I -1.359 0.000 4.129
I 2.705 2.355 4.129
```

**Formation energy from raw total energies**: -1.590 eV per atom
**N(E_F)**: 3.5 states/eV per cell


DFT (PBE-GGA) results for an optimized crystal structure of Ba8PS3I4.

Structure (extended XYZ):
```
16
Lattice="4.666 2.694 8.222 -4.666 2.694 8.222 0.000 -5.388 8.222" Properties=species:S:1:pos:R:3 pbc="T T T"
Ba 0.000 0.000 5.794
Ba -2.315 -1.336 14.016
Ba 0.000 -2.673 10.649
Ba -2.315 1.336 10.649
Ba 2.315 -1.336 14.016
Ba 0.000 2.673 14.016
Ba 2.315 1.336 10.649
Ba 0.000 0.000 18.871
P 0.000 0.000 12.332
S -4.666 0.000 12.332
S -2.333 1.347 4.111
S 2.333 1.347 4.111
I 0.000 0.000 0.000
I -2.333 -1.347 8.222
I -2.333 1.347 16.443
I 0.000 2.694 8.222
```

**Formation energy from raw total energies**: -1.661 eV per atom
**N(E_F)**: 6.9 states/eV per cell


DFT (PBE-GGA) results for an optimized crystal structure of Ba6P2SI3.

Structure (extended XYZ):
```
12
Lattice="4.089 -7.083 0.000 4.089 7.083 0.000 -2.726 0.000 8.308" Properties=species:S:1:pos:R:3 pbc="T T T"
Ba -0.013 2.383 6.626
Ba 1.337 0.000 1.680
Ba -0.013 -2.383 6.626
Ba 5.464 2.383 1.682
Ba 4.114 0.000 6.627
Ba 5.464 -2.383 1.682
P 4.089 4.722 0.000
P 4.089 -4.722 0.000
S 4.089 0.000 0.000
I -1.363 0.000 4.154
I 2.726 2.358 4.154
I 2.726 -2.358 4.154
```

**Formation energy from raw total energies**: -1.543 eV per atom
**N(E_F)**: 3.9 states/eV per cell


DFT (PBE-GGA) results for an optimized crystal structure of Ba6PS2I3.

Structure (extended XYZ):
```
12
Lattice="4.048 -7.009 0.000 4.048 7.009 0.000 -2.695 0.000 8.244" Properties=species:S:1:pos:R:3 pbc="T T T"
Ba 1.341 2.320 1.684
Ba -0.016 0.000 6.557
Ba 1.341 -2.320 1.684
Ba 4.061 2.320 6.560
Ba 5.418 0.000 1.687
Ba 4.061 -2.320 6.560
P 0.000 0.000 0.000
S 4.048 2.335 0.000
S 4.048 -2.335 0.000
I 2.701 4.672 4.122
I 2.701 0.000 4.122
I 2.701 -4.672 4.122
```

**Formation energy from raw total energies**: -1.640 eV per atom
**N(E_F)**: 4.6 states/eV per cell


DFT (PBE-GGA) results for an optimized crystal structure of Ba6P2S3I.

Structure (extended XYZ):
```
12
Lattice="10.229 -2.288 0.000 10.229 2.288 0.000 -2.289 0.000 9.311" Properties=species:S:1:pos:R:3 pbc="T T T"
Ba -0.617 0.000 2.610
Ba 4.506 0.000 8.475
Ba 5.812 0.000 3.852
Ba 12.356 0.000 5.459
Ba 13.662 0.000 0.835
Ba 18.785 0.000 6.701
P 2.589 0.000 3.074
P 15.580 0.000 6.236
S 1.403 0.000 7.778
S 9.084 0.000 4.655
S 16.766 0.000 1.533
I 10.229 0.000 0.000
```

**Formation energy from raw total energies**: -1.572 eV per atom
**N(E_F)**: 7.1 states/eV per cell


DFT (PBE-GGA) results for an optimized crystal structure of Ba8P3SI4.

Structure (extended XYZ):
```
16
Lattice="4.734 2.733 8.327 -4.734 2.733 8.327 0.000 -5.467 8.327" Properties=species:S:1:pos:R:3 pbc="T T T"
Ba -2.395 -1.383 14.165
Ba 0.000 0.000 5.856
Ba 0.000 -2.766 10.816
Ba -2.395 1.383 10.816
Ba 2.395 -1.383 14.165
Ba 0.000 2.766 14.165
Ba 0.000 0.000 19.125
Ba 2.395 1.383 10.816
P -4.734 0.000 12.490
P -2.367 1.367 4.163
P 2.367 1.367 4.163
S 0.000 0.000 12.490
I 0.000 0.000 0.000
I -2.367 -1.367 8.327
I -2.367 1.367 16.654
I 0.000 2.733 8.327
```

**Formation energy from raw total energies**: -1.515 eV per atom
**N(E_F)**: 4.2 states/eV per cell


Copy entry 4 word for word.
DFT (PBE-GGA) results for an optimized crystal structure of Ba8PS3I4.

Structure (extended XYZ):
```
16
Lattice="4.666 2.694 8.222 -4.666 2.694 8.222 0.000 -5.388 8.222" Properties=species:S:1:pos:R:3 pbc="T T T"
Ba 0.000 0.000 5.794
Ba -2.315 -1.336 14.016
Ba 0.000 -2.673 10.649
Ba -2.315 1.336 10.649
Ba 2.315 -1.336 14.016
Ba 0.000 2.673 14.016
Ba 2.315 1.336 10.649
Ba 0.000 0.000 18.871
P 0.000 0.000 12.332
S -4.666 0.000 12.332
S -2.333 1.347 4.111
S 2.333 1.347 4.111
I 0.000 0.000 0.000
I -2.333 -1.347 8.222
I -2.333 1.347 16.443
I 0.000 2.694 8.222
```

**Formation energy from raw total energies**: -1.661 eV per atom
**N(E_F)**: 6.9 states/eV per cell


- Which of these has the lowest formation energy from raw total energies?
  Ba8PS3I4


- Which formula does entry 4 have?
  Ba8PS3I4


- Which of these has the lowest formation energy from raw total energies?
  Ba8PS3I4